Entry 1:
First-principles (PBE) data for crystalline Cs2La2ZrSe6 at its relaxed geometry, as listed in Alexandria.

```
Cs2La2ZrSe6
1.0
3.729 -6.375 0.000
3.729 6.375 0.000
-2.547 0.000 8.542
Cs La Zr Se
2 2 1 6
Direct
0.171 0.829 0.000
0.829 0.171 0.000
0.333 0.667 0.500
0.667 0.333 0.500
0.000 0.000 0.500
0.064 0.370 0.684
0.241 0.241 0.317
0.370 0.064 0.684
0.630 0.936 0.316
0.759 0.759 0.683
0.936 0.630 0.316
```

Summary:
Energy relative to the elements, uncorrected   -1.683 eV per atom
Space-group type   No. 12



Entry 2:
First-principles (PBE) data for crystalline Cs2LaSi at its relaxed geometry, as listed in Alexandria.

```
Cs2LaSi
1.0
8.283 0.000 0.000
0.000 8.283 0.000
0.000 0.000 8.283
Cs La Si
8 4 4
Direct
0.250 0.250 0.250
0.250 0.250 0.750
0.250 0.750 0.250
0.250 0.750 0.750
0.750 0.250 0.250
0.750 0.250 0.750
0.750 0.750 0.250
0.750 0.750 0.750
0.000 0.000 0.000
0.000 0.500 0.500
0.500 0.000 0.500
0.500 0.500 0.000
0.000 0.000 0.500
0.000 0.500 0.000
0.500 0.000 0.000
0.500 0.500 0.500
```

Summary:
Energy relative to the elements, uncorrected   0.811 eV per atom
Space-group type   No. 225



Entry 3:
First-principles (PBE) data for crystalline CsLa2Si at its relaxed geometry, as listed in Alexandria.

```
CsLa2Si
1.0
9.097 0.000 0.000
0.000 9.097 0.000
0.000 0.000 7.438
Cs La Si
4 8 4
Direct
0.000 0.000 0.000
0.000 0.500 0.250
0.500 0.000 0.750
0.500 0.500 0.500
0.186 0.750 0.625
0.250 0.186 0.375
0.250 0.314 0.875
0.314 0.750 0.125
0.686 0.250 0.125
0.750 0.686 0.875
0.750 0.814 0.375
0.814 0.250 0.625
0.000 0.000 0.500
0.000 0.500 0.750
0.500 0.000 0.250
0.500 0.500 0.000
```

Summary:
Energy relative to the elements, uncorrected   0.230 eV per atom
Space-group type   No. 122